Compound: CrMoP2O
Source: Alexandria via LeMat-Bulk
Functional: PBE+U
Structure: optimized geometry

abc: 4.890 4.890 3.786
angles: 90.00 90.00 90.00
Last column: magnetic moment on the atom in μB.
Fractional coordinates of all 5 atoms:
O 0.000 0.000 0.500  -0.13
Cr 0.500 0.500 0.500  4.16
P 0.500 0.000 0.000  -0.25
P 0.000 0.500 0.000  -0.25
Mo 0.000 0.000 0.000  1.13

Calculated values
* magnetization: 0.917 μB per atom
* calculated total energy: -29.91 eV for the cell shown
* V: 90.6 Å³ per cell
* symmetry: No. 123

***

Compound: PaCrMoO6
Source: Alexandria via LeMat-Bulk
Functional: PBE+U
Structure: optimized geometry

abc: 5.340 5.340 9.087
angles: 90.00 90.00 120.00
Last column: magnetic moment on the atom in μB.
Fractional coordinates of all 18 atoms:
O 0.685 0.021 0.371  -0.03
O 0.979 0.664 0.371  -0.03
O 0.315 0.979 0.629  -0.03
O 0.685 0.664 0.129  -0.03
O 0.664 0.685 0.629  -0.03
O 0.664 0.979 0.871  -0.03
O 0.336 0.021 0.129  -0.03
O 0.336 0.315 0.371  -0.03
O 0.021 0.336 0.629  -0.03
O 0.979 0.315 0.129  -0.03
O 0.315 0.336 0.871  -0.03
O 0.021 0.685 0.871  -0.03
Pa 0.333 0.667 0.250  0.13
Pa 0.667 0.333 0.750  0.13
Mo 0.000 0.000 0.500  1.89
Mo 0.000 0.000 0.000  1.89
Cr 0.667 0.333 0.250  3.00
Cr 0.333 0.667 0.750  3.00

Calculated values
* magnetization: 0.556 μB per atom
* calculated total energy: -150.96 eV for the cell shown
* V: 224.4 Å³ per cell
* symmetry: No. 163